RbW3F | PBE+U | relaxed

abc: 6.6641 6.6641 6.6641
angles: 90.00 90.00 90.00
Element x y z (fractional)
Rb 0.0000 0.0000 0.0000
W 0.0000 0.0000 0.5000
W 0.0000 0.5000 0.0000
W 0.5000 0.0000 0.0000
F 0.5000 0.5000 0.5000

Results
- excess energy over the best structure of this formula in the dataset (meV per atom) = 1290
- SG = Pm-3m, No. 221
- size of the total moment (μB per formula unit) = 16.00